# PaAlSe4 | Alexandria | PBE | optimized geometry
# Space-group type ... No. 14
# Energy ... -5.4739 eV per atom
data_PaAlSe4
_space_group_name_H-M_alt 'P 1'
_space_group_IT_number 1
_space_group_name_Hall 'P 1'
_cell_length_a 7.6847
_cell_length_b 6.2381
_cell_length_c 7.4662
_cell_angle_alpha 90.00
_cell_angle_beta 117.10
_cell_angle_gamma 90.00
loop_
_atom_site_label
_atom_site_type_symbol
_atom_site_fract_x
_atom_site_fract_y
_atom_site_fract_z
Pa1 Pa 0.0000 0.0000 0.0000
Pa2 Pa 0.0000 0.5000 0.5000
Al1 Al 0.5000 0.0000 0.5000
Al2 Al 0.5000 0.5000 0.0000
Se1 Se 0.1983 0.2333 0.3514
Se2 Se 0.1983 0.2667 0.8514
Se3 Se 0.3377 0.7412 0.6831
Se4 Se 0.3377 0.7588 0.1831
Se5 Se 0.6623 0.2412 0.8169
Se6 Se 0.6623 0.2588 0.3169
Se7 Se 0.8017 0.7333 0.1486
Se8 Se 0.8017 0.7667 0.6486